Entry from the Alexandria database: a relaxed structure of SiRuF2 (PBE).

Summary:
Spin magnetization (Bohr magnetons per cell): 0.194
SG: R-3m, No. 166
Formation energy (no corrections) (meV/atom): -867

The structure in extended XYZ format:
```
4
Lattice="1.3072 0.7547 9.7284 -1.3072 0.7547 9.7284 0.0000 -1.5094 9.7284" Properties=species:S:1:pos:R:3 pbc="T T T"
Si 0.0000 0.0000 0.0000
Ru 0.0000 0.0000 14.5926
F 0.0000 0.0000 1.6449
F 0.0000 0.0000 27.5403
```